Material: NbAl2Ir3
Method: DFT, PBE-GGA
State: optimized geometry

Cell lengths 2.935, 2.935, 10.124 Å; angles 90.00, 90.00, 90.00 degrees
Fractional positions:
Ir  0.000  0.000  0.690
Ir  0.000  0.000  0.310
Ir  0.000  0.000  0.000
Al  0.500  0.500  0.156
Al  0.500  0.500  0.844
Nb  0.500  0.500  0.500

Output
The calculation puts the raw total energy at -49.30 eV/cell. The value obtained for the density of states at the Fermi level is 0.505 states/eV per atom. The calculation puts the theoretical density at 13.78 g/cm3. The space-group type is P4/mmm. The calculated volume comes out at 87.2 Å³/cell. The calculation puts the formation enthalpy at 0 K at -19.83 kcal/mol of atoms.